A relaxed structure of TbNdSm4S8, computed with PBE-GGA.

Unit cell a=8.2434 b=8.2434 c=20.1019 alpha=90.00 beta=90.00 gamma=120.00
Space group R3m (No. 160, hexagonal axes)
Unique sites:
Tb (0.0000, 0.0000, 0.0000) x3
Nd (0.0000, 0.0000, 0.3759) x3
Sm (0.0000, 0.0000, 0.6245) x3
Sm (0.0009, 0.5005, 0.5003) x9
S (0.0000, 0.0000, 0.2418) x3
S (0.0000, 0.0000, 0.7570) x3
S (0.0273, 0.5137, 0.7517) x9
S (0.1784, 0.3568, 0.5827) x9

Values from the calculation:
The energy relative to the elements, uncorrected is -1920 meV/atom. The density of states at the Fermi level is 8.3 states/eV/f.u.